A plane-wave DFT calculation with PBE was carried out for a geometry-optimized SmDyTm5 structure.

a = 6.1126 Å, b = 7.9537 Å, c = 7.6782 Å
α = 121.19°, β = 113.46°, γ = 90.00°
Element x y z (fractional)
Sm 0.6978 0.5000 0.0000
Dy 0.9372 0.0000 0.0000
Tm 0.1851 0.2573 0.5146
Tm 0.1723 0.5000 0.0000
Tm 0.6705 0.7427 0.4854
Tm 0.4339 0.8204 0.0000
Tm 0.4339 0.1796 0.0000

Calculated values
Calculated formation energy (eV/atom): 1.020
V (Å³/cell): 282.6
Energy relative to the lowest polymorph listed for this composition (meV per atom): 817
SG: No. 44
DOS(E_F) (states/eV per atom): 1.37



A plane-wave DFT calculation with PBE was carried out for a geometry-optimized YHfMo structure.

a = 4.7662 Å, b = 11.8066 Å, c = 4.9178 Å
α = 90.00°, β = 90.00°, γ = 90.00°
Element x y z (fractional)
Y 0.0000 0.9021 0.2500
Y 0.0000 0.0979 0.7500
Y 0.5000 0.4021 0.2500
Y 0.5000 0.5979 0.7500
Mo 0.0000 0.2422 0.2500
Mo 0.0000 0.7578 0.7500
Mo 0.5000 0.7422 0.2500
Mo 0.5000 0.2578 0.7500
Hf 0.0000 0.6278 0.2500
Hf 0.0000 0.3722 0.7500
Hf 0.5000 0.1278 0.2500
Hf 0.5000 0.8722 0.7500

Calculated values
Calculated formation energy (eV/atom): 0.192
V (Å³/cell): 276.7
Energy relative to the lowest polymorph listed for this composition (meV per atom): 80
SG: No. 63
DOS(E_F) (states/eV per atom): 1.36



A plane-wave DFT calculation with PBE was carried out for a geometry-optimized CaLa2Hg8 structure.

a = 5.2974 Å, b = 7.4666 Å, c = 8.8063 Å
α = 115.09°, β = 107.50°, γ = 90.00°
Element x y z (fractional)
Ca 0.5000 0.0000 0.0000
La 0.1997 0.6997 0.3994
La 0.8003 0.3003 0.6006
Hg 0.6393 0.8466 0.2787
Hg 0.3607 0.5679 0.7213
Hg 0.1569 0.1570 0.3139
Hg 0.0000 0.2905 0.0000
Hg 0.8431 0.8430 0.6861
Hg 0.6393 0.4321 0.2787
Hg 0.3607 0.1534 0.7213
Hg 0.0000 0.7095 0.0000

Calculated values
Calculated formation energy (eV/atom): -0.386
V (Å³/cell): 297.6
SG: No. 71
DOS(E_F) (states/eV per atom): 0.63



A plane-wave DFT calculation with PBE was carried out for a geometry-optimized ZrGeSeN2 structure.

a = 3.8780 Å, b = 3.8780 Å, c = 4.8973 Å
α = 90.00°, β = 90.00°, γ = 90.00°
Element x y z (fractional)
Ge 0.0000 0.0000 0.0000
Se 0.0000 0.0000 0.5000
Zr 0.5000 0.5000 0.5000
N 0.0000 0.5000 0.0000
N 0.5000 0.0000 0.0000

Calculated values
V (Å³/cell): 73.6
Energy relative to the lowest polymorph listed for this composition (meV per atom): 234
SG: No. 123
DOS(E_F) (states/eV per atom): 0.23
Formation energy (no corrections) (eV/atom): 0.56



A plane-wave DFT calculation with PBE was carried out for a geometry-optimized Be2Cd2Au5 structure.

a = 6.5641 Å, b = 7.9352 Å, c = 7.9352 Å
α = 130.96°, β = 90.00°, γ = 90.00°
Element x y z (fractional)
Be 0.3687 0.1339 0.1339
Be 0.6313 0.8661 0.8661
Be 0.8687 0.3661 0.3661
Be 0.1313 0.6339 0.6339
Cd 0.0000 0.7786 0.2214
Cd 0.5000 0.2786 0.7214
Cd 0.0000 0.2214 0.7786
Cd 0.5000 0.7214 0.2786
Au 0.0000 0.0000 0.0000
Au 0.5000 0.5000 0.5000
Au 0.1626 0.2329 0.4514
Au 0.8374 0.5486 0.7671
Au 0.6626 0.0486 0.2671
Au 0.3374 0.7329 0.9514
Au 0.8374 0.7671 0.5486
Au 0.1626 0.4514 0.2329
Au 0.3374 0.9514 0.7329
Au 0.6626 0.2671 0.0486

Calculated values
Calculated formation energy (eV/atom): -0.089
V (Å³/cell): 312.1
SG: No. 64
DOS(E_F) (states/eV per atom): 0.28



A plane-wave DFT calculation with PBE was carried out for a geometry-optimized HgBiI6 structure.

a = 7.4132 Å, b = 8.4067 Å, c = 7.1954 Å
α = 64.97°, β = 69.06°, γ = 61.04°
Element x y z (fractional)
Hg 0.0000 0.0000 0.0000
Bi 0.5000 0.5000 0.5000
I 0.0588 0.4766 0.7371
I 0.7524 0.0709 0.7456
I 0.5611 0.2560 0.2488
I 0.2476 0.9291 0.2544
I 0.9412 0.5234 0.2629
I 0.4389 0.7440 0.7512

Calculated values
V (Å³/cell): 348.9
SG: No. 2
DOS(E_F) (states/eV per atom): 0.93
Formation energy (no corrections) (eV/atom): -0.18



A plane-wave DFT calculation with PBE was carried out for a geometry-optimized KSrPuCl6 structure.

a = 7.4646 Å, b = 7.4646 Å, c = 13.2141 Å
α = 90.00°, β = 90.00°, γ = 120.00°
Site moments in Bohr magnetons follow the coordinates.
Element x y z (fractional)
K 0.0000 0.0000 0.0000  0.00
K 0.0000 0.0000 0.5000  0.00
Sr 0.3333 0.6667 0.2500  0.00
Sr 0.6667 0.3333 0.7500  0.00
Pu 0.6667 0.3333 0.2500  5.02
Pu 0.3333 0.6667 0.7500  5.02
Cl 0.6480 0.6299 0.1364  -0.02
Cl 0.9819 0.3520 0.1364  -0.02
Cl 0.3520 0.9819 0.6364  -0.02
Cl 0.0181 0.6480 0.8636  -0.02
Cl 0.3701 0.3520 0.3636  -0.02
Cl 0.9819 0.6299 0.3636  -0.02
Cl 0.6299 0.9819 0.8636  -0.02
Cl 0.6480 0.0181 0.3636  -0.02
Cl 0.0181 0.3701 0.6364  -0.02
Cl 0.3701 0.0181 0.1364  -0.02
Cl 0.6299 0.6480 0.6364  -0.02
Cl 0.3520 0.3701 0.8636  -0.02

Calculated values
V (Å³/cell): 637.7
SG: No. 163
DOS(E_F) (states/eV per atom): 1.21
Formation energy (no corrections) (eV/atom): -2.12



A plane-wave DFT calculation with PBE was carried out for a geometry-optimized CrFe2Ir5 structure.

a = 3.8199 Å, b = 5.3471 Å, c = 10.6846 Å
α = 90.00°, β = 90.00°, γ = 90.00°
Site moments in Bohr magnetons follow the coordinates.
Element x y z (fractional)
Cr 0.0000 0.0000 0.5000  -1.87
Cr 0.0000 0.5000 0.0000  -1.87
Fe 0.5000 0.2544 0.3767  2.44
Fe 0.5000 0.7456 0.6233  2.44
Fe 0.5000 0.2456 0.8767  2.44
Fe 0.5000 0.7544 0.1233  2.44
Ir 0.5000 0.2652 0.1208  0.14
Ir 0.5000 0.7348 0.8792  0.14
Ir 0.5000 0.7652 0.3792  0.14
Ir 0.5000 0.2348 0.6208  0.14
Ir 0.0000 0.9881 0.7449  0.10
Ir 0.0000 0.0119 0.2551  0.10
Ir 0.0000 0.4881 0.7551  0.10
Ir 0.0000 0.5119 0.2449  0.10
Ir 0.0000 0.5000 0.5000  0.07
Ir 0.0000 0.0000 0.0000  0.07

Calculated values
Calculated formation energy (eV/atom): -0.094
V (Å³/cell): 218.2
SG: No. 55
DOS(E_F) (states/eV per atom): 1.18



A plane-wave DFT calculation with PBE was carried out for a geometry-optimized HoTm2As structure.

a = 3.7928 Å, b = 3.7928 Å, c = 9.5842 Å
α = 78.59°, β = 78.59°, γ = 60.00°
Site moments in Bohr magnetons follow the coordinates.
Element x y z (fractional)
As 0.0000 0.0000 0.0000  0.01
Tm 0.2717 0.2717 0.1848  0.09
Tm 0.7283 0.7283 0.8152  0.09
Ho 0.5000 0.5000 0.5000  0.28

Calculated values
Calculated formation energy (eV/atom): -0.566
V (Å³/cell): 116.2
SG: No. 166
DOS(E_F) (states/eV per atom): 1.21



A plane-wave DFT calculation with PBE was carried out for a geometry-optimized HoGe2Pt3 structure.

a = 4.0048 Å, b = 8.5790 Å, c = 10.1190 Å
α = 106.23°, β = 90.00°, γ = 103.50°
Element x y z (fractional)
Ho 0.1528 0.3055 0.6885
Ho 0.8472 0.6945 0.3115
Ho 0.0000 0.0000 0.0000
Ge 0.1984 0.3967 0.1306
Ge 0.8016 0.6033 0.8694
Ge 0.4588 0.9176 0.2206
Ge 0.5412 0.0824 0.7794
Ge 0.3617 0.7233 0.5507
Ge 0.6383 0.2767 0.4493
Pt 0.0393 0.0786 0.3287
Pt 0.9607 0.9214 0.6713
Pt 0.2244 0.4489 0.3845
Pt 0.7756 0.5511 0.6155
Pt 0.6119 0.2238 0.1853
Pt 0.3881 0.7762 0.8147
Pt 0.5000 0.0000 0.5000
Pt 0.3242 0.6484 0.0454
Pt 0.6758 0.3516 0.9546

Calculated values
Calculated formation energy (eV/atom): -0.837
V (Å³/cell): 323.8
SG: No. 12
DOS(E_F) (states/eV per atom): 0.44



Copy entry 7 word for word.
A plane-wave DFT calculation with PBE was carried out for a geometry-optimized KSrPuCl6 structure.

a = 7.4646 Å, b = 7.4646 Å, c = 13.2141 Å
α = 90.00°, β = 90.00°, γ = 120.00°
Site moments in Bohr magnetons follow the coordinates.
Element x y z (fractional)
K 0.0000 0.0000 0.0000  0.00
K 0.0000 0.0000 0.5000  0.00
Sr 0.3333 0.6667 0.2500  0.00
Sr 0.6667 0.3333 0.7500  0.00
Pu 0.6667 0.3333 0.2500  5.02
Pu 0.3333 0.6667 0.7500  5.02
Cl 0.6480 0.6299 0.1364  -0.02
Cl 0.9819 0.3520 0.1364  -0.02
Cl 0.3520 0.9819 0.6364  -0.02
Cl 0.0181 0.6480 0.8636  -0.02
Cl 0.3701 0.3520 0.3636  -0.02
Cl 0.9819 0.6299 0.3636  -0.02
Cl 0.6299 0.9819 0.8636  -0.02
Cl 0.6480 0.0181 0.3636  -0.02
Cl 0.0181 0.3701 0.6364  -0.02
Cl 0.3701 0.0181 0.1364  -0.02
Cl 0.6299 0.6480 0.6364  -0.02
Cl 0.3520 0.3701 0.8636  -0.02

Calculated values
V (Å³/cell): 637.7
SG: No. 163
DOS(E_F) (states/eV per atom): 1.21
Formation energy (no corrections) (eV/atom): -2.12